A relaxed SiWN crystal, computed with GGA-PBE.

Properties
Space-group type: P1 (1)
E above lowest polymorph (meV per atom): 62
Formation energy (no corrections) (eV/atom): -0.197
Total moment (μB per formula unit): 0.00
Final energy (eV per atom): -9.0978

a = 2.980 Å, b = 4.446 Å, c = 5.432 Å
α = 92.00°, β = 98.86°, γ = 91.57°
Element x y z (fractional)
1 Si 0.000 0.000 0.000
2 Si 0.404 0.446 0.798
3 W 0.529 0.021 0.407
4 W 0.941 0.520 0.195
5 N 0.138 0.075 0.698
6 N 0.510 0.536 0.491